No. 1
Compound: Zr5TlOs4
Source: Alexandria
Functional: GGA-PBE
Structure: relaxed

Calculated values
The calculation puts the total moment at 0.000 μB per cell. As for the calculated total energy: -94.2 eV for the cell shown. The calculation puts the calculated formation energy at -417 meV per atom.

CIF file:
```
data_Zr5TlOs4
_symmetry_space_group_name_H-M 'P 4/m m m'
_symmetry_Int_Tables_number 123
_symmetry_space_group_name_Hall '-P 4 2'
_cell_length_a 3.242
_cell_length_b 3.242
_cell_length_c 18.051
_cell_angle_alpha 90.00
_cell_angle_beta 90.00
_cell_angle_gamma 90.00
loop_
_atom_site_label
_atom_site_type_symbol
_atom_site_fract_x
_atom_site_fract_y
_atom_site_fract_z
Zr1 Zr 0.000 0.000 0.000
Zr2 Zr 0.000 0.000 0.185
Zr3 Zr 0.000 0.000 0.370
Tl1 Tl 0.500 0.500 0.500
Os1 Os 0.500 0.500 0.092
Os2 Os 0.500 0.500 0.278
```

No. 2
Compound: CdH3Se
Source: Alexandria
Functional: GGA-PBE
Structure: relaxed

Calculated values
The calculation puts the total moment at 0.000 μB per cell. As for the calculated total energy: -11.5 eV for the cell shown. For the polymorph energy (0 for the lowest one), the calculation gives 0.000 eV per atom.

CIF file:
```
data_CdH3Se
_symmetry_space_group_name_H-M 'P m -3 m'
_symmetry_Int_Tables_number 221
_symmetry_space_group_name_Hall '-P 4 2 3'
_cell_length_a 3.919
_cell_length_b 3.919
_cell_length_c 3.919
_cell_angle_alpha 90.00
_cell_angle_beta 90.00
_cell_angle_gamma 90.00
loop_
_atom_site_label
_atom_site_type_symbol
_atom_site_fract_x
_atom_site_fract_y
_atom_site_fract_z
Cd1 Cd 0.000 0.000 0.000
H1 H 0.000 0.500 0.500
Se1 Se 0.500 0.500 0.500
```

No. 3
Compound: TbPmDy2Y5
Source: Alexandria
Functional: GGA-PBE
Structure: relaxed

Calculated values
The calculation puts the total moment at 0.000 μB per cell. As for the calculated total energy: -193.7 eV for the cell shown. The calculation puts the calculated formation energy at 275 meV per atom.

CIF file:
```
data_TbPmDy2Y5
_symmetry_space_group_name_H-M 'I 4/m c m'
_symmetry_Int_Tables_number 140
_symmetry_space_group_name_Hall '-I 4 2c'
_cell_length_a 8.898
_cell_length_b 8.898
_cell_length_c 14.921
_cell_angle_alpha 90.00
_cell_angle_beta 90.00
_cell_angle_gamma 90.00
loop_
_atom_site_label
_atom_site_type_symbol
_atom_site_fract_x
_atom_site_fract_y
_atom_site_fract_z
Tb1 Tb 0.000 0.500 0.250
Pm1 Pm 0.000 0.000 0.250
Dy1 Dy 0.114 0.386 0.000
Y1 Y 0.000 0.000 0.000
Y2 Y 0.205 0.295 0.367
```

No. 4
Compound: Mg2NF
Source: Alexandria
Functional: GGA-PBE
Structure: relaxed

Calculated values
The calculation puts the total moment at 0.000 μB per cell. As for the calculated total energy: -79.5 eV for the cell shown. For the polymorph energy (0 for the lowest one), the calculation gives 0.184 eV per atom.

CIF file:
```
data_Mg2NF
_symmetry_space_group_name_H-M 'I -4 2 d'
_symmetry_Int_Tables_number 122
_symmetry_space_group_name_Hall 'I -4 2bw'
_cell_length_a 4.693
_cell_length_b 4.693
_cell_length_c 10.035
_cell_angle_alpha 90.00
_cell_angle_beta 90.00
_cell_angle_gamma 90.00
loop_
_atom_site_label
_atom_site_type_symbol
_atom_site_fract_x
_atom_site_fract_y
_atom_site_fract_z
Mg1 Mg 0.215 0.250 0.125
N1 N 0.000 0.000 0.000
F1 F 0.000 0.000 0.500
```

No. 5
Compound: SrNiSe2
Source: Alexandria
Functional: GGA-PBE
Structure: relaxed

Calculated values
The calculation puts the total moment at 0.000 μB per cell. As for the calculated total energy: -36.9 eV for the cell shown. For the polymorph energy (0 for the lowest one), the calculation gives 0.000 eV per atom.

CIF file:
```
data_SrNiSe2
_symmetry_space_group_name_H-M 'I -4 m 2'
_symmetry_Int_Tables_number 119
_symmetry_space_group_name_Hall 'I -4 -2'
_cell_length_a 4.131
_cell_length_b 4.131
_cell_length_c 10.592
_cell_angle_alpha 90.00
_cell_angle_beta 90.00
_cell_angle_gamma 90.00
loop_
_atom_site_label
_atom_site_type_symbol
_atom_site_fract_x
_atom_site_fract_y
_atom_site_fract_z
Sr1 Sr 0.000 0.000 0.000
Ni1 Ni 0.000 0.500 0.750
Se1 Se 0.000 0.000 0.352
```

No. 6
Compound: AlTeW2
Source: Alexandria
Functional: GGA-PBE
Structure: relaxed

Calculated values
The calculation puts the total moment at 0.000 μB per cell. As for the calculated total energy: -119.5 eV for the cell shown. For the polymorph energy (0 for the lowest one), the calculation gives 0.440 eV per atom.

CIF file:
```
data_AlTeW2
_symmetry_space_group_name_H-M 'I -4 2 d'
_symmetry_Int_Tables_number 122
_symmetry_space_group_name_Hall 'I -4 2bw'
_cell_length_a 4.078
_cell_length_b 4.078
_cell_length_c 18.803
_cell_angle_alpha 90.00
_cell_angle_beta 90.00
_cell_angle_gamma 90.00
loop_
_atom_site_label
_atom_site_type_symbol
_atom_site_fract_x
_atom_site_fract_y
_atom_site_fract_z
Al1 Al 0.000 0.000 0.000
Te1 Te 0.000 0.000 0.500
W1 W 0.197 0.250 0.125
```